(1)
Computed, not measured: a crystal of CaMg2Al relaxed with PBEsol at the SCAN level of DFT.

Cell lengths 7.145, 7.145, 7.145 Å; angles 90.00, 90.00, 90.00 degrees
Space group F-43m (No. 216)
Inequivalent atoms, fractional coordinates:
Ca 0.000 0.000 0.000 x4
Mg 0.000 0.000 0.500 x4
Mg 0.250 0.250 0.250 x4
Al 0.250 0.250 0.750 x4

Properties
electronic total energy = -6.92 eV/atom
DOS(E_F) = 1.05 states/eV/f.u.
magnetization = 0.0 μB per cell
ΔH_f (0 K) = -0.08 eV/atom

(2)
Computed, not measured: a crystal of Sr5As3ClO12 relaxed with PBEsol at the SCAN level of DFT.

Cell lengths 10.2077, 10.2077, 7.2487 Å; angles 90.00, 90.00, 120.00 degrees
Space group P6_3/m (No. 176)
Inequivalent atoms, fractional coordinates:
Sr 0.0009 0.2514 0.2500 x6
Sr 0.3333 0.6667 0.5020 x4
As 0.0329 0.6260 0.2500 x6
Cl 0.0000 0.0000 0.0000 x2
O 0.0967 0.7423 0.0614 x12
O 0.1290 0.5275 0.2500 x6
O 0.1588 0.4898 0.7500 x6

Properties
electronic total energy = -14.70 eV/atom
DOS(E_F) = 0.00 states/eV/f.u.
formation energy from raw total energies = -2.572 eV per atom
magnetization = 0.0 μB per cell

(3)
Computed, not measured: a crystal of TaNbOF2 relaxed with PBEsol at the SCAN level of DFT.

Cell lengths 4.201, 4.201, 3.952 Å; angles 90.00, 90.00, 90.00 degrees
Space group P4/mmm (No. 123)
Inequivalent atoms, fractional coordinates:
Ta 0.000 0.000 0.000 x1
Nb 0.500 0.500 0.500 x1
O 0.000 0.000 0.500 x1
F 0.000 0.500 0.000 x2

Properties
electronic total energy = -23.74 eV/atom
DOS(E_F) = 2.90 states/eV/f.u.
formation energy from raw total energies = -1.131 eV per atom
magnetization = 3.4 μB per cell

(4)
Computed, not measured: a crystal of Y2CrCu relaxed with PBEsol at the SCAN level of DFT.

Cell lengths 4.904, 4.904, 3.456 Å; angles 90.00, 90.00, 90.00 degrees
Space group P4/mmm (No. 123)
Inequivalent atoms, fractional coordinates:
Y 0.000 0.500 0.000 x2
Cr 0.000 0.000 0.500 x1
Cu 0.500 0.500 0.500 x1

Properties
electronic total energy = -22.37 eV/atom
DOS(E_F) = 2.37 states/eV/f.u.
magnetization = 4.1 μB per cell
ΔH_f (0 K) = -0.05 eV/atom